Record 1
Density functional theory data (PBE) for a relaxed K2Tb2TiSe6 crystal.

Summary:
Theoretical density ... 4.603 g cm⁻³
Crystal system ... monoclinic
Formation energy without anion corrections ... -1.543 eV/atom
Magnetic moment ... 0.000 μB per atom

Lattice parameters (Å, degrees): 7.023 12.021 8.215 90.00 107.31 90.00
Space group C2/m (No. 12)
One atom of each set of equivalent atoms:
K1 0.000 0.172 0.000 (multiplicity 4)
Tb1 0.000 0.333 0.500 (multiplicity 4)
Ti1 0.000 0.000 0.500 (multiplicity 2)
Se1 0.223 0.153 0.697 (multiplicity 8)
Se2 0.236 0.000 0.306 (multiplicity 4)

Record 2
Density functional theory data (PBE) for a relaxed CrHgH3 crystal.

Summary:
Theoretical density ... 7.220 g cm⁻³
Crystal system ... cubic
DOS(E_F) ... 0.245 states/eV/atom
E above lowest polymorph ... 0.507 eV/atom
Magnetic moment ... 0.943 μB per atom

Lattice parameters (Å, degrees): 3.888 3.888 3.888 90.00 90.00 90.00
Space group Pm-3m (No. 221)
One atom of each set of equivalent atoms:
Cr1 0.000 0.000 0.000 (multiplicity 1)
Hg1 0.500 0.500 0.500 (multiplicity 1)
H1 0.000 0.500 0.500 (multiplicity 3)

Record 3
Density functional theory data (PBE) for a relaxed CaSm2YS4 crystal.

Summary:
Theoretical density ... 5.175 g cm⁻³
Crystal system ... monoclinic
Formation energy without anion corrections ... -2.035 eV/atom
DOS(E_F) ... 0.348 states/eV/atom
Magnetic moment ... 0.000 μB per atom

Lattice parameters (Å, degrees): 6.895 3.965 6.930 90.00 109.11 90.00
Space group P2/m (No. 10)
One atom of each set of equivalent atoms:
Ca1 0.000 0.000 0.000 (multiplicity 1)
Sm1 0.000 0.500 0.500 (multiplicity 1)
Sm2 0.500 0.000 0.500 (multiplicity 1)
Y1 0.500 0.500 0.000 (multiplicity 1)
S1 0.250 0.500 0.244 (multiplicity 2)
S2 0.253 0.000 0.758 (multiplicity 2)

Q: Which formula does entry 3 have?
A: CaSm2YS4

Repeat the first record exactly.
Density functional theory data (PBE) for a relaxed K2Tb2TiSe6 crystal.

Summary:
Theoretical density ... 4.603 g cm⁻³
Crystal system ... monoclinic
Formation energy without anion corrections ... -1.543 eV/atom
Magnetic moment ... 0.000 μB per atom

Lattice parameters (Å, degrees): 7.023 12.021 8.215 90.00 107.31 90.00
Space group C2/m (No. 12)
One atom of each set of equivalent atoms:
K1 0.000 0.172 0.000 (multiplicity 4)
Tb1 0.000 0.333 0.500 (multiplicity 4)
Ti1 0.000 0.000 0.500 (multiplicity 2)
Se1 0.223 0.153 0.697 (multiplicity 8)
Se2 0.236 0.000 0.306 (multiplicity 4)

Q: Number 1 is which compound?
A: K2Tb2TiSe6

Q: Which of these has the lowest theoretical density?
A: K2Tb2TiSe6